[1]
{"formula": "YTaAu2", "functional": "PBE", "state": "relaxed", "e_form_mev_per_atom": -204, "e_above_lowest_polymorph_kj_per_mol_atoms": 4.0, "lattice_angstrom": [[4.896, 0.000, 0.000], [0.000, 4.897, 0.000], [0.000, 0.000, 3.417]], "species": ["Au", "Au", "Y", "Ta"], "frac_coords": [[0.500, 0.500, 0.000], [0.000, 0.000, 0.000], [0.000, 0.500, 0.500], [0.500, 0.000, 0.500]]}

=====

[2]
{"formula": "KCaAcO3", "functional": "PBE", "state": "relaxed", "raw_formation_energy_mev_per_atom": -2478, "lattice_angstrom": [[3.754, 0.000, 0.000], [0.000, 7.399, 1.407], [0.000, -1.366, 9.873]], "species": ["O", "O", "O", "O", "O", "O", "K", "K", "Ac", "Ac", "Ca", "Ca"], "frac_coords": [[0.250, 0.236, 0.771], [0.250, 0.854, 0.570], [0.750, 0.146, 0.430], [0.250, 0.625, 0.913], [0.750, 0.375, 0.087], [0.750, 0.764, 0.229], [0.750, 0.892, 0.794], [0.250, 0.108, 0.206], [0.250, 0.587, 0.150], [0.750, 0.413, 0.850], [0.750, 0.843, 0.449], [0.250, 0.157, 0.551]]}

=====

[3]
{"formula": "ErBiPt2", "functional": "PBE", "state": "relaxed", "e_form_mev_per_atom": -719, "lattice_angstrom": [[3.728, 0.000, 0.000], [0.000, 4.746, 0.000], [0.000, 0.000, 4.746]], "species": ["Pt", "Pt", "Er", "Bi"], "frac_coords": [[0.000, 0.000, 0.500], [0.000, 0.500, 0.000], [0.500, 0.500, 0.500], [0.500, 0.000, 0.000]]}

=====

[4]
{"formula": "Sr2PtPb3", "functional": "PBE", "state": "relaxed", "e_form_mev_per_atom": -440, "lattice_angstrom": [[-4.002, -0.870, -0.848], [1.390, -4.481, -1.961], [-0.867, -3.735, 7.919]], "species": ["Sr", "Sr", "Pb", "Pb", "Pb", "Pt"], "frac_coords": [[0.000, 0.500, 0.038], [0.000, 0.000, 0.482], [0.500, 0.000, 0.834], [0.500, 0.000, 0.187], [0.500, 0.500, 0.638], [0.500, 0.500, 0.321]]}

=====

[5]
{"formula": "TbSmY2", "functional": "PBE", "state": "relaxed", "e_form_mev_per_atom": 17, "e_above_lowest_polymorph_kj_per_mol_atoms": 0.6, "lattice_angstrom": [[-0.844, 3.483, -0.058], [-0.942, 1.667, 3.030], [10.568, 4.453, 2.954]], "species": ["Y", "Y", "Tb", "Sm"], "frac_coords": [[0.751, 0.751, 0.748], [0.249, 0.249, 0.252], [0.500, 0.500, 0.500], [0.000, 0.000, 0.000]]}

=====

[6]
{"formula": "CrIrBr2", "functional": "PBE", "state": "relaxed", "raw_formation_energy_mev_per_atom": 670, "e_above_lowest_polymorph_kj_per_mol_atoms": 63.1, "lattice_angstrom": [[-1.020, 3.507, 1.611], [-0.680, -2.101, 4.145], [4.439, 0.666, 1.362]], "species": ["Br", "Br", "Ir", "Cr"], "frac_coords": [[0.000, 0.981, 0.981], [0.000, 0.519, 0.519], [0.500, 0.750, 0.750], [0.500, 0.250, 0.250]]}

=====

[7]
{"formula": "PuHf4Zr", "functional": "PBE", "state": "relaxed", "e_form_mev_per_atom": 66, "lattice_angstrom": [[-2.091, -0.500, -2.351], [4.304, -7.406, -0.094], [-6.650, -3.950, 6.756]], "species": ["Hf", "Hf", "Hf", "Hf", "Hf", "Hf", "Hf", "Hf", "Pu", "Pu", "Zr", "Zr"], "frac_coords": [[0.894, 0.789, 0.014], [0.443, 0.886, 0.518], [0.998, 0.996, 0.765], [0.106, 0.211, 0.514], [0.663, 0.326, 0.271], [0.557, 0.114, 0.018], [0.337, 0.674, 0.771], [0.002, 0.004, 0.265], [0.333, 0.667, 0.269], [0.667, 0.333, 0.769], [0.226, 0.453, 0.025], [0.774, 0.547, 0.525]]}

=====

[8]
{"formula": "TbGdMgCu", "functional": "PBE", "state": "relaxed", "e_form_mev_per_atom": -64, "lattice_angstrom": [[5.161, 0.000, 0.000], [2.581, 4.470, 0.000], [2.581, 1.490, 4.214]], "species": ["Gd", "Tb", "Cu", "Mg"], "frac_coords": [[0.500, 0.500, 0.500], [0.000, 0.000, 0.000], [0.250, 0.250, 0.250], [0.750, 0.750, 0.750]]}

=====

[9]
{"formula": "TcAsPt2", "functional": "PBE", "state": "relaxed", "e_form_mev_per_atom": -23, "lattice_angstrom": [[2.806, 0.000, 0.000], [0.000, 2.806, 0.000], [0.000, 0.000, 8.128]], "species": ["Pt", "Pt", "As", "Tc"], "frac_coords": [[0.000, 0.000, 0.019], [0.000, 0.000, 0.481], [0.500, 0.500, 0.750], [0.500, 0.500, 0.250]]}

=====

[10]
{"formula": "Tc2OsRu", "functional": "PBE", "state": "relaxed", "e_form_mev_per_atom": 59, "e_above_lowest_polymorph_kj_per_mol_atoms": 13.2, "lattice_angstrom": [[4.736, 0.005, -0.010], [3.952, 2.611, -0.010], [0.779, 0.235, 4.651]], "species": ["Tc", "Tc", "Ru", "Os"], "frac_coords": [[0.501, 0.501, 0.499], [0.999, 0.999, 0.001], [0.750, 0.750, 0.750], [0.250, 0.250, 0.250]]}

=====

[11]
{"formula": "FeCuSb", "functional": "PBE", "state": "relaxed", "raw_formation_energy_mev_per_atom": 383, "lattice_angstrom": [[-3.971, 0.893, -0.774], [2.632, -0.625, -3.138], [-0.730, -3.224, 0.029]], "species": ["Fe", "Cu", "Sb"], "frac_coords": [[0.667, 0.333, 0.178], [0.000, 0.000, 0.154], [0.333, 0.667, 0.668]]}

=====

[12]
{"formula": "HoMg3Pb3", "functional": "PBE", "state": "relaxed", "e_form_mev_per_atom": -74, "e_above_lowest_polymorph_kj_per_mol_atoms": 0.0, "lattice_angstrom": [[7.403, -0.200, 0.004], [-0.183, 7.404, 0.004], [0.006, 0.006, 6.983]], "species": ["Ho", "Ho", "Mg", "Mg", "Mg", "Mg", "Mg", "Mg", "Pb", "Pb", "Pb", "Pb", "Pb", "Pb"], "frac_coords": [[0.298, 0.298, 0.000], [0.702, 0.702, 0.000], [0.254, 0.746, 0.000], [0.645, 0.355, 0.500], [0.243, 0.243, 0.500], [0.746, 0.254, 0.000], [0.355, 0.645, 0.500], [0.757, 0.757, 0.500], [0.000, 0.000, 0.242], [0.500, 0.000, 0.739], [0.500, 0.000, 0.261], [0.000, 0.500, 0.261], [0.000, 0.000, 0.758], [0.000, 0.500, 0.739]]}